Here is a relaxed structure of BaMnTl from Alexandria via LeMat-Bulk. Energies are from GGA-PBE.

Unit cell a=6.7596 b=6.7596 c=6.7596 alpha=136.84 beta=98.04 gamma=97.50
Closest atoms and distances in Å follow each position.
Fractional coordinates of all 6 atoms:
Ba 0.2450 0.0000 0.2450  6 Tl 3.62-3.68, 6 Mn 3.66-3.71
Ba 0.7550 0.0000 0.7550  6 Tl 3.62-3.68, 6 Mn 3.66-3.71
Mn 0.3373 0.3373 0.0000  2 Tl 2.84, 1 Mn 2.90
Mn 0.6627 0.6627 0.0000  2 Tl 2.84, 1 Mn 2.90
Tl 0.1822 0.6822 0.5000  2 Mn 2.84
Tl 0.8178 0.3178 0.5000  2 Mn 2.84

* distance to the lowest polymorph of the same formula: 0.20 eV/f.u.
* ΔE_f: 0.21 eV/atom
* V: 98.2 Å³/f.u.
* space group: Immm (71)
* crystal system: orthorhombic
* E_tot: -4.281 eV/atom
* total moment: 7.5 μB per cell